(1)
## NpAs2PtRh2 (PBE-GGA)

Data for NpAs2PtRh2 after structural relaxation.

The structure in POSCAR format:
```
NpAs2PtRh2
1.0
-1.699 3.183 -1.199
-5.733 -2.569 1.304
0.379 3.217 8.004
As Rh Pt Np
4 4 2 2
direct
0.000 0.755 0.106
0.500 0.268 0.316
0.500 0.768 0.684
0.000 0.255 0.894
0.000 0.377 0.156
0.500 0.511 0.896
0.000 0.877 0.844
0.500 0.011 0.104
0.500 0.166 0.680
0.500 0.666 0.320
0.000 0.968 0.439
0.000 0.468 0.561
```

Output
- DFT formation energy (meV per atom) = -455
- uncorrected energy (hartree per atom) = -0.2800
- density of states at the Fermi level (states/eV/cell) = 21.271
- spin magnetization (μB/f.u.) = 3.73

(2)
## Np2As4PtRh3 (PBE-GGA)

Data for Np2As4PtRh3 after structural relaxation.

The structure in POSCAR format:
```
Np2As4PtRh3
1.0
4.261 0.000 0.000
0.000 4.261 0.000
0.000 0.000 10.090
As Np Rh Pt
4 2 3 1
direct
0.500 0.500 0.000
0.500 0.000 0.642
0.000 0.500 0.358
0.000 0.000 0.000
0.000 0.500 0.753
0.500 0.000 0.247
0.500 0.000 0.879
0.000 0.000 0.500
0.000 0.500 0.121
0.500 0.500 0.500
```

Output
- DFT formation energy (meV per atom) = -528
- uncorrected energy (hartree per atom) = -0.2861
- density of states at the Fermi level (states/eV/cell) = 22.313
- spin magnetization (μB/f.u.) = 7.86

(3)
## Np2Si3AsPt4 (PBE-GGA)

Data for Np2Si3AsPt4 after structural relaxation.

The structure in POSCAR format:
```
Np2Si3AsPt4
1.0
-1.650 2.628 -2.984
-3.706 -2.187 0.122
-3.260 5.915 7.011
Np Pt As Si
2 4 1 3
direct
0.500 0.000 0.252
0.000 0.500 0.748
0.000 0.500 0.373
0.500 0.500 0.000
0.000 0.000 0.000
0.500 0.000 0.627
0.500 0.500 0.500
0.000 0.500 0.129
0.000 0.000 0.500
0.500 0.000 0.871
```

Output
- uncorrected energy (hartree per atom) = -0.2850
- density of states at the Fermi level (states/eV/cell) = 23.387
- formation energy from raw total energies (eV per atom) = -0.66
- spin magnetization (μB/f.u.) = 7.70